Run 1
Material: MnTcNi2
Method: DFT, PBEsol
State: optimized geometry

The structure belongs to space group Fm-3m (No. 225); the cell edges are 5.746, 5.746 and 5.746 Å and the angles 90.00°, 90.00° and 90.00°. Symmetry generates all atoms from Mn at (0.000, 0.000, 0.000), Tc at (0.000, 0.000, 0.500) and Ni at (0.250, 0.250, 0.250).

---

Run 2
Material: MnTcNi2
Method: DFT, PBEsol
State: optimized geometry

The structure belongs to space group R-3m (No. 166, hexagonal axes); the cell edges are 2.5401, 2.5401 and 24.8092 Å and the angles 90.00°, 90.00° and 120.00°. Symmetry generates all atoms from Mn at (0.0000, 0.0000, 0.0000), Tc at (0.0000, 0.0000, 0.5000) and Ni at (0.0000, 0.0000, 0.2526).

---

Run 3
Material: MnTcNi2
Method: DFT, PBEsol
State: optimized geometry

The structure belongs to space group F-43m (No. 216); the cell edges are 5.692, 5.692 and 5.692 Å and the angles 90.00°, 90.00° and 90.00°. Symmetry generates all atoms from Mn at (0.000, 0.000, 0.000), Tc at (0.250, 0.250, 0.250), Ni at (0.000, 0.000, 0.500) and Ni at (0.250, 0.250, 0.750).

---

Run 4
Material: MnTcNi2
Method: DFT, PBEsol
State: optimized geometry

The structure belongs to space group P4/mmm (No. 123); the cell edges are 3.058, 3.058 and 5.035 Å and the angles 90.00°, 90.00° and 90.00°. Symmetry generates all atoms from Mn at (0.000, 0.000, 0.000), Tc at (0.000, 0.000, 0.500) and Ni at (0.500, 0.500, 0.245).

---

Stability verdict: run 3, ahead by 0.012 eV/atom